# PBE PuHfCd, relaxed
data_PuHfCd
_symmetry_space_group_name_H-M 'P 3 m 1'
_symmetry_Int_Tables_number 156
_symmetry_space_group_name_Hall 'P 3 -2"'
_cell_length_a 3.2078
_cell_length_b 3.2078
_cell_length_c 8.0278
_cell_angle_alpha 90.00
_cell_angle_beta 90.00
_cell_angle_gamma 120.00
loop_
_atom_site_label
_atom_site_type_symbol
_atom_site_fract_x
_atom_site_fract_y
_atom_site_fract_z
Pu1 Pu 0.0000 0.0000 0.0000
Hf1 Hf 0.6667 0.3333 0.3248
Cd1 Cd 0.3333 0.6667 0.6452
# Energy above the most stable polymorph in this dataset, meV/atom: 73.5
# Formation energy from the elements, kcal/mol of atoms: 2.931

---

# PBE Li4Sn5, relaxed
data_Li4Sn5
_symmetry_space_group_name_H-M 'C 1 2/m 1'
_symmetry_Int_Tables_number 12
_symmetry_space_group_name_Hall '-C 2y'
_cell_length_a 10.499
_cell_length_b 4.333
_cell_length_c 9.449
_cell_angle_alpha 90.00
_cell_angle_beta 111.49
_cell_angle_gamma 90.00
loop_
_atom_site_label
_atom_site_type_symbol
_atom_site_fract_x
_atom_site_fract_y
_atom_site_fract_z
Li1 Li 0.010 0.000 0.337
Li2 Li 0.173 0.500 0.224
Sn1 Sn 0.000 0.000 0.000
Sn2 Sn 0.158 0.500 0.877
Sn3 Sn 0.165 0.500 0.546
# Energy above the most stable polymorph in this dataset, meV/atom: 0.0
# Formation energy from the elements, kcal/mol of atoms: -5.638

---

# PBE Ga2NiAu2, relaxed
data_Ga2NiAu2
_symmetry_space_group_name_H-M 'P 4/m b m'
_symmetry_Int_Tables_number 127
_symmetry_space_group_name_Hall '-P 4 2ab'
_cell_length_a 6.558
_cell_length_b 6.558
_cell_length_c 3.825
_cell_angle_alpha 90.00
_cell_angle_beta 90.00
_cell_angle_gamma 90.00
loop_
_atom_site_label
_atom_site_type_symbol
_atom_site_fract_x
_atom_site_fract_y
_atom_site_fract_z
Ga1 Ga 0.150 0.350 0.000
Ni1 Ni 0.000 0.000 0.000
Au1 Au 0.159 0.659 0.500
# Energy above the most stable polymorph in this dataset, meV/atom: 224.8
# Formation energy from the elements, kcal/mol of atoms: -0.054

---

# PBE Mg2AlIn, relaxed
data_Mg2AlIn
_symmetry_space_group_name_H-M 'R 3 m'
_symmetry_Int_Tables_number 160
_symmetry_space_group_name_Hall 'R 3 -2"'
_cell_length_a 4.2284
_cell_length_b 4.2284
_cell_length_c 19.7755
_cell_angle_alpha 90.00
_cell_angle_beta 90.00
_cell_angle_gamma 120.00
loop_
_atom_site_label
_atom_site_type_symbol
_atom_site_fract_x
_atom_site_fract_y
_atom_site_fract_z
Mg1 Mg 0.0000 0.0000 0.0000
Mg2 Mg 0.0000 0.0000 0.1587
Al1 Al 0.0000 0.0000 0.4156
In1 In 0.0000 0.0000 0.5771
# Formation energy from the elements, kcal/mol of atoms: 5.400

---

# PBE Dy4Ge2Br3, relaxed
data_Dy4Ge2Br3
_symmetry_space_group_name_H-M 'C 1 2/m 1'
_symmetry_Int_Tables_number 12
_symmetry_space_group_name_Hall '-C 2y'
_cell_length_a 7.198
_cell_length_b 4.156
_cell_length_c 17.504
_cell_angle_alpha 90.00
_cell_angle_beta 90.04
_cell_angle_gamma 90.00
loop_
_atom_site_label
_atom_site_type_symbol
_atom_site_fract_x
_atom_site_fract_y
_atom_site_fract_z
Dy1 Dy 0.001 0.000 0.291
Dy2 Dy 0.166 0.500 0.884
Ge1 Ge 0.167 0.500 0.200
Br1 Br 0.000 0.000 0.000
Br2 Br 0.166 0.500 0.609
# Uncorrected formation energy, eV/atom: -1.29

---

# PBE YGa2TePt, relaxed
data_YGa2TePt
_symmetry_space_group_name_H-M 'P 4/m m m'
_symmetry_Int_Tables_number 123
_symmetry_space_group_name_Hall '-P 4 2'
_cell_length_a 4.775
_cell_length_b 4.775
_cell_length_c 5.692
_cell_angle_alpha 90.00
_cell_angle_beta 90.00
_cell_angle_gamma 90.00
loop_
_atom_site_label
_atom_site_type_symbol
_atom_site_fract_x
_atom_site_fract_y
_atom_site_fract_z
Y1 Y 0.000 0.000 0.000
Ga1 Ga 0.000 0.500 0.500
Te1 Te 0.500 0.500 0.000
Pt1 Pt 0.000 0.000 0.500
# Uncorrected formation energy, eV/atom: -0.71

---

# PBE InCoPb, relaxed
data_InCoPb
_symmetry_space_group_name_H-M 'P 3 m 1'
_symmetry_Int_Tables_number 156
_symmetry_space_group_name_Hall 'P 3 -2"'
_cell_length_a 3.3883
_cell_length_b 3.3883
_cell_length_c 6.4864
_cell_angle_alpha 90.00
_cell_angle_beta 90.00
_cell_angle_gamma 120.00
loop_
_atom_site_label
_atom_site_type_symbol
_atom_site_fract_x
_atom_site_fract_y
_atom_site_fract_z
In1 In 0.0000 0.0000 0.0000
Co1 Co 0.3333 0.6667 0.7244
Pb1 Pb 0.6667 0.3333 0.4335
# Energy above the most stable polymorph in this dataset, meV/atom: 138.7
# Formation energy from the elements, kcal/mol of atoms: 7.830

---

# PBE Mn2ZnPd, relaxed
data_Mn2ZnPd
_symmetry_space_group_name_H-M 'P 4/m m m'
_symmetry_Int_Tables_number 123
_symmetry_space_group_name_Hall '-P 4 2'
_cell_length_a 3.097
_cell_length_b 3.097
_cell_length_c 6.103
_cell_angle_alpha 90.00
_cell_angle_beta 90.00
_cell_angle_gamma 90.00
loop_
_atom_site_label
_atom_site_type_symbol
_atom_site_fract_x
_atom_site_fract_y
_atom_site_fract_z
Mn1 Mn 0.000 0.000 0.245
Zn1 Zn 0.500 0.500 0.000
Pd1 Pd 0.500 0.500 0.500
# Formation energy from the elements, kcal/mol of atoms: -0.906

---

# PBE HgPdS6, relaxed
data_HgPdS6
_symmetry_space_group_name_H-M 'P -1'
_symmetry_Int_Tables_number 2
_symmetry_space_group_name_Hall '-P 1'
_cell_length_a 4.367
_cell_length_b 5.240
_cell_length_c 9.479
_cell_angle_alpha 83.42
_cell_angle_beta 84.30
_cell_angle_gamma 75.71
loop_
_atom_site_label
_atom_site_type_symbol
_atom_site_fract_x
_atom_site_fract_y
_atom_site_fract_z
Hg1 Hg 0.000 0.000 0.000
Pd1 Pd 0.500 0.500 0.000
S1 S 0.168 0.314 0.178
S2 S 0.209 0.386 0.500
S3 S 0.235 0.393 0.814
# Uncorrected formation energy, eV/atom: 0.06

---

# PBE CsRbCI2, relaxed
data_CsRbCI2
_symmetry_space_group_name_H-M 'P 4/m m m'
_symmetry_Int_Tables_number 123
_symmetry_space_group_name_Hall '-P 4 2'
_cell_length_a 7.194
_cell_length_b 7.194
_cell_length_c 5.422
_cell_angle_alpha 90.00
_cell_angle_beta 90.00
_cell_angle_gamma 90.00
loop_
_atom_site_label
_atom_site_type_symbol
_atom_site_fract_x
_atom_site_fract_y
_atom_site_fract_z
Cs1 Cs 0.000 0.000 0.000
Rb1 Rb 0.500 0.500 0.500
C1 C 0.000 0.000 0.500
I1 I 0.000 0.500 0.000
# Uncorrected formation energy, eV/atom: 0.48

---

# PBE DyNbO4, relaxed
data_DyNbO4
_symmetry_space_group_name_H-M 'I 41/a m d'
_symmetry_Int_Tables_number 141
_cell_length_a 7.328
_cell_length_b 7.328
_cell_length_c 6.710
_cell_angle_alpha 90.00
_cell_angle_beta 90.00
_cell_angle_gamma 90.00
loop_
_symmetry_equiv_pos_as_xyz
'x,y,z'
'-x,-y,-z'
'-y+1/4,x+3/4,z+1/4'
'y+1/4,-x+3/4,-z+1/4'
'-x+1/2,-y,z+1/2'
'x+1/2,y,-z+1/2'
'y+1/4,-x+1/4,z+3/4'
'-y+1/4,x+1/4,-z+3/4'
'x,-y,-z'
'-x,y,z'
'-y+1/4,-x+1/4,-z+3/4'
'y+1/4,x+1/4,z+3/4'
'-x+1/2,y,-z+1/2'
'x+1/2,-y,z+1/2'
'y+1/4,x+3/4,-z+1/4'
'-y+1/4,-x+3/4,z+1/4'
'x+1/2,y+1/2,z+1/2'
'-x+1/2,-y+1/2,-z+1/2'
'-y+3/4,x+1/4,z+3/4'
'y+3/4,-x+1/4,-z+3/4'
'-x,-y+1/2,z'
'x,y+1/2,-z'
'y+3/4,-x+3/4,z+1/4'
'-y+3/4,x+3/4,-z+1/4'
'x+1/2,-y+1/2,-z+1/2'
'-x+1/2,y+1/2,z+1/2'
'-y+3/4,-x+3/4,-z+1/4'
'y+3/4,x+3/4,z+1/4'
'-x,y+1/2,-z'
'x,-y+1/2,z'
'y+3/4,x+1/4,-z+3/4'
'-y+3/4,-x+1/4,z+3/4'
loop_
_atom_site_label
_atom_site_type_symbol
_atom_site_fract_x
_atom_site_fract_y
_atom_site_fract_z
Dy1 Dy 0.000 0.250 0.375
Nb1 Nb 0.000 0.250 0.875
O1 O 0.000 0.057 0.692
# Uncorrected formation energy, eV/atom: -3.03

---

# PBE ZrB2Ru, relaxed
data_ZrB2Ru
_symmetry_space_group_name_H-M 'F m -3 m'
_symmetry_Int_Tables_number 225
_symmetry_space_group_name_Hall '-F 4 2 3'
_cell_length_a 5.707
_cell_length_b 5.707
_cell_length_c 5.707
_cell_angle_alpha 90.00
_cell_angle_beta 90.00
_cell_angle_gamma 90.00
loop_
_atom_site_label
_atom_site_type_symbol
_atom_site_fract_x
_atom_site_fract_y
_atom_site_fract_z
Zr1 Zr 0.000 0.000 0.000
B1 B 0.250 0.250 0.250
Ru1 Ru 0.000 0.000 0.500
# Energy above the most stable polymorph in this dataset, meV/atom: 346.6
# Formation energy from the elements, kcal/mol of atoms: -1.008

---

no.,density of states at the Fermi level (states/eV/cell),energy (eV per atom)
1,8.68,-8.27
2,7.85,-3.32
3,2.13,-3.68
4,3.76,-2.18
5,5.34,-4.92
6,2.56,-5.05
7,2.01,-4.18
8,1.74,-6.24
9,2.78,-3.72
10,8.05,-2.35
11,0.00,-8.78
12,3.17,-7.84